Entry from Alexandria via LeMat-Bulk: a relaxed LiHgPd5 crystal (PBE).

Computed properties:
Symmetry: Imm2
Calculated total energy, eV/atom: -4.023
Energy relative to the elements, eV/f.u.: 0.02

a = 9.3016 Å, b = 5.2111 Å, c = 5.9103 Å
α = 116.16°, β = 141.90°, γ = 90.00°
Atoms (fractional coordinates):
Li (0.9172, 0.0000, 0.0000)
Hg (0.2397, 0.5000, 0.0000)
Pd (0.4581, 0.2464, 0.4927)
Pd (0.9615, 0.5000, 0.0000)
Pd (0.9654, 0.7536, 0.5073)
Pd (0.4943, 0.7567, 0.0000)
Pd (0.4943, 0.2433, 0.0000)